# MgScPt2 (PBE, optimized geometry)
data_MgScPt2
_chemical_formula_sum 'Mg2 Sc2 Pt4'
_cell_length_a 4.5487
_cell_length_b 4.5487
_cell_length_c 8.0601
_cell_angle_alpha 90.00
_cell_angle_beta 90.00
_cell_angle_gamma 120.00
_space_group_name_H-M_alt 'P 63/m m c'
_space_group_IT_number 194
_space_group_name_Hall '-P 6c 2c'
loop_
_atom_site_label
_atom_site_type_symbol
_atom_site_fract_x
_atom_site_fract_y
_atom_site_fract_z
_atom_site_occupancy
Mg1 Mg 0.0000 0.0000 0.2500 1
Sc1 Sc 0.3333 0.6667 0.2500 1
Pt1 Pt 0.3333 0.6667 0.5836 1
# - Density: 10.6 g cm⁻³
# - Total energy: -5.507 eV/atom

=====

# SrSmTeAuS2 (PBE, optimized geometry)
data_SrSmTeAuS2
_chemical_formula_sum 'Sr4 Sm4 Te4 Au4 S8'
_cell_length_a 4.110
_cell_length_b 14.590
_cell_length_c 11.132
_cell_angle_alpha 90.00
_cell_angle_beta 90.00
_cell_angle_gamma 90.00
_space_group_name_H-M_alt 'C m c m'
_space_group_IT_number 63
_space_group_name_Hall '-C 2c 2'
loop_
_atom_site_label
_atom_site_type_symbol
_atom_site_fract_x
_atom_site_fract_y
_atom_site_fract_z
_atom_site_occupancy
Sr1 Sr 0.000 0.206 0.250 1
Sm1 Sm 0.000 0.000 0.000 1
Te1 Te 0.000 0.112 0.750 1
Au1 Au 0.000 0.483 0.750 1
S1 S 0.000 0.376 0.572 1
# - Density: 6.2 g cm⁻³
# - Total energy: -4.922 eV/atom

=====

# LiZrTe3Pd (PBE, optimized geometry)
data_LiZrTe3Pd
_chemical_formula_sum 'Li2 Zr2 Te6 Pd2'
_cell_length_a 7.898
_cell_length_b 3.966
_cell_length_c 10.024
_cell_angle_alpha 90.00
_cell_angle_beta 105.10
_cell_angle_gamma 90.00
_space_group_name_H-M_alt 'P 1 21/m 1'
_space_group_IT_number 11
_space_group_name_Hall '-P 2yb'
loop_
_atom_site_label
_atom_site_type_symbol
_atom_site_fract_x
_atom_site_fract_y
_atom_site_fract_z
_atom_site_occupancy
Li1 Li 0.244 0.250 0.213 1
Zr1 Zr 0.201 0.750 0.687 1
Te1 Te 0.086 0.750 0.371 1
Te2 Te 0.214 0.750 0.975 1
Te3 Te 0.447 0.250 0.646 1
Pd1 Pd 0.404 0.250 0.905 1
# - Density: 6.4 g cm⁻³
# - Total energy: -4.942 eV/atom
# - ΔE to the lowest computed polymorph: 0.460 kcal/mol of atoms

=====

# NaPdAu3S4 (PBE, optimized geometry)
data_NaPdAu3S4
_chemical_formula_sum 'Na1 Pd1 Au3 S4'
_cell_length_a 5.979
_cell_length_b 5.979
_cell_length_c 5.979
_cell_angle_alpha 90.00
_cell_angle_beta 90.00
_cell_angle_gamma 90.00
_space_group_name_H-M_alt 'P -4 3 m'
_space_group_IT_number 215
_space_group_name_Hall 'P -4 2 3'
loop_
_atom_site_label
_atom_site_type_symbol
_atom_site_fract_x
_atom_site_fract_y
_atom_site_fract_z
_atom_site_occupancy
Na1 Na 0.000 0.000 0.000 1
Pd1 Pd 0.500 0.500 0.500 1
Au1 Au 0.000 0.500 0.500 1
S1 S 0.266 0.266 0.266 1
# - Density: 6.6 g cm⁻³
# - Total energy: -3.617 eV/atom

=====

# Dy6TlNi2 (PBE, optimized geometry)
data_Dy6TlNi2
_chemical_formula_sum 'Dy24 Tl4 Ni8'
_cell_length_a 9.313
_cell_length_b 9.754
_cell_length_c 10.097
_cell_angle_alpha 90.00
_cell_angle_beta 90.00
_cell_angle_gamma 90.00
_space_group_name_H-M_alt 'I m m m'
_space_group_IT_number 71
_space_group_name_Hall '-I 2 2'
loop_
_atom_site_label
_atom_site_type_symbol
_atom_site_fract_x
_atom_site_fract_y
_atom_site_fract_z
_atom_site_occupancy
Dy1 Dy 0.000 0.205 0.232 1
Dy2 Dy 0.192 0.500 0.175 1
Dy3 Dy 0.207 0.317 0.500 1
Tl1 Tl 0.000 0.000 0.000 1
Tl2 Tl 0.000 0.000 0.500 1
Ni1 Ni 0.000 0.357 0.000 1
Ni2 Ni 0.000 0.500 0.377 1
# - Density: 9.4 g cm⁻³
# - Total energy: -4.887 eV/atom

=====

# Gd3Tl3Sn4 (PBE, optimized geometry)
data_Gd3Tl3Sn4
_chemical_formula_sum 'Gd6 Tl6 Sn8'
_cell_length_a 4.650
_cell_length_b 25.101
_cell_length_c 4.590
_cell_angle_alpha 90.00
_cell_angle_beta 90.00
_cell_angle_gamma 90.00
_space_group_name_H-M_alt 'C m m m'
_space_group_IT_number 65
_space_group_name_Hall '-C 2 2'
loop_
_atom_site_label
_atom_site_type_symbol
_atom_site_fract_x
_atom_site_fract_y
_atom_site_fract_z
_atom_site_occupancy
Gd1 Gd 0.000 0.000 0.000 1
Gd2 Gd 0.000 0.188 0.000 1
Tl1 Tl 0.000 0.403 0.000 1
Tl2 Tl 0.000 0.500 0.500 1
Sn1 Sn 0.000 0.097 0.500 1
Sn2 Sn 0.000 0.292 0.500 1
# - Density: 9.7 g cm⁻³
# - Total energy: -4.153 eV/atom
# - ΔE to the lowest computed polymorph: 0.118 kcal/mol of atoms

=====

# TlCu3ReS4 (PBE, optimized geometry)
data_TlCu3ReS4
_chemical_formula_sum 'Tl1 Cu3 Re1 S4'
_cell_length_a 5.826
_cell_length_b 5.826
_cell_length_c 5.826
_cell_angle_alpha 90.00
_cell_angle_beta 90.00
_cell_angle_gamma 90.00
_space_group_name_H-M_alt 'P -4 3 m'
_space_group_IT_number 215
_space_group_name_Hall 'P -4 2 3'
loop_
_atom_site_label
_atom_site_type_symbol
_atom_site_fract_x
_atom_site_fract_y
_atom_site_fract_z
_atom_site_occupancy
Tl1 Tl 0.000 0.000 0.000 1
Cu1 Cu 0.000 0.500 0.500 1
Re1 Re 0.500 0.500 0.500 1
S1 S 0.276 0.276 0.276 1
# - Density: 6.0 g cm⁻³
# - Total energy: -4.714 eV/atom

=====

# ZrCoGeIr (PBE, optimized geometry)
data_ZrCoGeIr
_chemical_formula_sum 'Zr4 Co4 Ge4 Ir4'
_cell_length_a 6.282
_cell_length_b 6.282
_cell_length_c 6.282
_cell_angle_alpha 90.00
_cell_angle_beta 90.00
_cell_angle_gamma 90.00
_space_group_name_H-M_alt 'F -4 3 m'
_space_group_IT_number 216
_space_group_name_Hall 'F -4 2 3'
loop_
_atom_site_label
_atom_site_type_symbol
_atom_site_fract_x
_atom_site_fract_y
_atom_site_fract_z
_atom_site_occupancy
Zr1 Zr 0.000 0.000 0.000 1
Co1 Co 0.250 0.250 0.750 1
Ge1 Ge 0.000 0.000 0.500 1
Ir1 Ir 0.250 0.250 0.250 1
# - Density: 11.1 g cm⁻³
# - Total energy: -7.730 eV/atom
# - ΔE to the lowest computed polymorph: 0.000 kcal/mol of atoms

=====

# Y3Mg3ZnCuPd (PBE, optimized geometry)
data_Y3Mg3ZnCuPd
_chemical_formula_sum 'Y3 Mg3 Zn1 Cu1 Pd1'
_cell_length_a 7.5148
_cell_length_b 7.5148
_cell_length_c 4.0434
_cell_angle_alpha 90.00
_cell_angle_beta 90.00
_cell_angle_gamma 120.00
_space_group_name_H-M_alt 'P -6'
_space_group_IT_number 174
_space_group_name_Hall 'P -6'
loop_
_atom_site_label
_atom_site_type_symbol
_atom_site_fract_x
_atom_site_fract_y
_atom_site_fract_z
_atom_site_occupancy
Y1 Y 0.0822 0.7401 0.0000 1
Mg1 Mg 0.4254 0.0913 0.5000 1
Zn1 Zn 0.0000 0.0000 0.5000 1
Cu1 Cu 0.6667 0.3333 0.0000 1
Pd1 Pd 0.3333 0.6667 0.5000 1
# - Density: 4.8 g cm⁻³
# - Total energy: -4.206 eV/atom

=====

# DyTmMg6 (PBE, optimized geometry)
data_DyTmMg6
_chemical_formula_sum 'Dy1 Tm1 Mg6'
_cell_length_a 5.156
_cell_length_b 7.309
_cell_length_c 5.157
_cell_angle_alpha 90.00
_cell_angle_beta 90.00
_cell_angle_gamma 90.00
_space_group_name_H-M_alt 'P m m 2'
_space_group_IT_number 25
_space_group_name_Hall 'P 2 -2'
loop_
_atom_site_label
_atom_site_type_symbol
_atom_site_fract_x
_atom_site_fract_y
_atom_site_fract_z
_atom_site_occupancy
Dy1 Dy 0.000 0.000 0.000 1
Tm1 Tm 0.500 0.500 0.508 1
Mg1 Mg 0.000 0.253 0.499 1
Mg2 Mg 0.000 0.500 0.000 1
Mg3 Mg 0.500 0.000 0.507 1
Mg4 Mg 0.500 0.253 0.008 1
# - Density: 4.1 g cm⁻³
# - Total energy: -2.352 eV/atom

=====

# Sm3Mg3ZnGa2 (PBE, optimized geometry)
data_Sm3Mg3ZnGa2
_chemical_formula_sum 'Sm3 Mg3 Zn1 Ga2'
_cell_length_a 7.4102
_cell_length_b 7.4102
_cell_length_c 4.4647
_cell_angle_alpha 90.00
_cell_angle_beta 90.00
_cell_angle_gamma 120.00
_space_group_name_H-M_alt 'P -6 2 m'
_space_group_IT_number 189
_space_group_name_Hall 'P -6 -2'
loop_
_atom_site_label
_atom_site_type_symbol
_atom_site_fract_x
_atom_site_fract_y
_atom_site_fract_z
_atom_site_occupancy
Sm1 Sm 0.0000 0.5801 0.0000 1
Mg1 Mg 0.0000 0.2424 0.5000 1
Zn1 Zn 0.0000 0.0000 0.0000 1
Ga1 Ga 0.3333 0.6667 0.5000 1
# - Density: 5.7 g cm⁻³
# - Total energy: -3.347 eV/atom

=====

# NdTmBe2Si2 (PBE, optimized geometry)
data_NdTmBe2Si2
_chemical_formula_sum 'Nd1 Tm1 Be2 Si2'
_cell_length_a 3.8970
_cell_length_b 3.8970
_cell_length_c 8.1903
_cell_angle_alpha 90.00
_cell_angle_beta 90.00
_cell_angle_gamma 120.00
_space_group_name_H-M_alt 'P -3 m 1'
_space_group_IT_number 164
_space_group_name_Hall '-P 3 2"'
loop_
_atom_site_label
_atom_site_type_symbol
_atom_site_fract_x
_atom_site_fract_y
_atom_site_fract_z
_atom_site_occupancy
Nd1 Nd 0.0000 0.0000 0.0000 1
Tm1 Tm 0.0000 0.0000 0.5000 1
Be1 Be 0.3333 0.6667 0.7375 1
Si1 Si 0.3333 0.6667 0.2625 1
# - Density: 6.0 g cm⁻³
# - Total energy: -5.213 eV/atom